# PBE TbNdInNi, optimized geometry
data_TbNdInNi
_chemical_formula_sum 'Tb4 Nd4 In4 Ni4'
_cell_length_a 7.347
_cell_length_b 7.347
_cell_length_c 7.347
_cell_angle_alpha 90.00
_cell_angle_beta 90.00
_cell_angle_gamma 90.00
_symmetry_space_group_name_H-M 'F -4 3 m'
_symmetry_Int_Tables_number 216
_symmetry_space_group_name_Hall 'F -4 2 3'
loop_
_atom_site_label
_atom_site_type_symbol
_atom_site_fract_x
_atom_site_fract_y
_atom_site_fract_z
Tb1 Tb 0.000 0.000 0.000
Nd1 Nd 0.000 0.000 0.500
In1 In 0.250 0.250 0.250
Ni1 Ni 0.250 0.250 0.750
# Energy, eV/f.u.: -19.0
# N(E_F), states/eV/cell: 16.46